1.
This record from Alexandria describes a geometry-optimized NpS6Br2 structure. The functional is PBE-GGA.

VASP energy: -4.91 eV per atom
Magnetic moment: 3.74 μB/cell
Density of states at the Fermi level: 0.977 states/eV per atom
SG: No. 2
Calculated density: 3.21 g/cm3

abc: 4.329 8.589 9.068
angles: 65.65 88.67 82.68
Positions (direct):
Np1 0.000 0.000 0.000
S1 0.043 0.020 0.695
S2 0.101 0.762 0.743
S3 0.206 0.285 0.381
S4 0.794 0.715 0.619
S5 0.899 0.238 0.257
S6 0.957 0.980 0.305
Br1 0.444 0.248 0.904
Br2 0.556 0.752 0.096



2.
This record from Alexandria describes a geometry-optimized NpS2Br4 structure. The functional is PBE-GGA.

VASP energy: -4.71 eV per atom
Magnetic moment: 3.07 μB/cell
Density of states at the Fermi level: 1.714 states/eV per atom
SG: No. 2
Calculated density: 3.67 g/cm3

abc: 4.030 7.842 9.170
angles: 93.22 102.12 96.46
Positions (direct):
Np1 0.000 0.000 0.000
S1 0.282 0.431 0.491
S2 0.718 0.569 0.509
Br1 0.118 0.920 0.283
Br2 0.411 0.748 0.929
Br3 0.589 0.252 0.071
Br4 0.882 0.080 0.717



3.
This record from Alexandria describes a geometry-optimized NpSBr structure. The functional is PBE-GGA.

VASP energy: -7.51 eV per atom
Magnetic moment: 4.00 μB/cell
Density of states at the Fermi level: 3.525 states/eV per atom
SG: No. 156
Calculated density: 5.88 g/cm3

abc: 4.112 4.112 6.735
angles: 90.00 90.00 120.00
Positions (direct):
Np1 0.000 0.000 0.000
S1 0.667 0.333 0.816
Br1 0.333 0.667 0.271



4.
This record from Alexandria describes a geometry-optimized NpSBr structure. The functional is PBE-GGA.

VASP energy: -7.58 eV per atom
Magnetic moment: 8.00 μB/cell
Density of states at the Fermi level: 2.934 states/eV per atom
SG: No. 12
Calculated density: 6.28 g/cm3

abc: 4.508 4.508 10.812
angles: 102.33 102.33 60.04
Positions (direct):
Np1 0.110 0.110 0.335
Np2 0.890 0.890 0.665
S1 0.200 0.200 0.597
S2 0.800 0.800 0.403
Br1 0.388 0.388 0.171
Br2 0.612 0.612 0.829



5.
This record from Alexandria describes a geometry-optimized NpS2Br2 structure. The functional is PBE-GGA.

VASP energy: -5.94 eV per atom
Magnetic moment: 6.00 μB/cell
Density of states at the Fermi level: 1.736 states/eV per atom
SG: No. 12
Calculated density: 4.57 g/cm3

abc: 7.267 7.267 7.677
angles: 99.01 99.01 119.63
Positions (direct):
Np1 0.149 0.851 0.000
Np2 0.851 0.149 0.000
S1 0.102 0.102 0.278
S2 0.287 0.287 0.125
S3 0.713 0.713 0.875
S4 0.898 0.898 0.722
Br1 0.042 0.439 0.770
Br2 0.439 0.042 0.770
Br3 0.561 0.958 0.230
Br4 0.958 0.561 0.230



6.
This record from Alexandria describes a geometry-optimized NpS8Br2 structure. The functional is PBE-GGA.

VASP energy: -4.72 eV per atom
Magnetic moment: 3.00 μB/cell
Density of states at the Fermi level: 0.675 states/eV per atom
SG: No. 2
Calculated density: 3.22 g/cm3

abc: 5.107 5.281 12.618
angles: 96.30 94.15 91.20
Positions (direct):
Np1 0.000 0.000 0.000
S1 0.110 0.323 0.729
S2 0.126 0.963 0.772
S3 0.144 0.507 0.062
S4 0.425 0.923 0.890
S5 0.575 0.077 0.110
S6 0.856 0.493 0.938
S7 0.874 0.037 0.228
S8 0.890 0.677 0.271
Br1 0.318 0.298 0.576
Br2 0.682 0.702 0.424



7.
This record from Alexandria describes a geometry-optimized NpSBr2 structure. The functional is PBE-GGA.

VASP energy: -6.21 eV per atom
Magnetic moment: 3.00 μB/cell
Density of states at the Fermi level: 2.591 states/eV per atom
SG: No. 8
Calculated density: 5.30 g/cm3

abc: 5.003 5.003 8.071
angles: 107.46 107.46 44.72
Positions (direct):
Np1 0.000 0.000 0.000
S1 0.712 0.712 0.000
Br1 0.362 0.362 0.721
Br2 0.520 0.520 0.279



8.
This record from Alexandria describes a geometry-optimized NpSBr3 structure. The functional is PBE-GGA.

VASP energy: -5.44 eV per atom
Magnetic moment: 4.00 μB/cell
Polymorph energy (0 for the lowest one): 0.057 eV per atom
Density of states at the Fermi level: 0.969 states/eV per atom
SG: No. 12
Calculated density: 4.29 g/cm3

abc: 8.035 8.035 8.151
angles: 119.92 119.92 72.26
Positions (direct):
Np1 0.001 0.001 0.264
Np2 0.999 0.999 0.736
S1 0.161 0.161 0.659
S2 0.839 0.839 0.341
Br1 0.186 0.186 0.182
Br2 0.277 0.719 0.742
Br3 0.281 0.723 0.258
Br4 0.719 0.277 0.742
Br5 0.723 0.281 0.258
Br6 0.814 0.814 0.818